Run i
VASP calculation (GGA-PBE) on a geometry-optimized Tl2SbPt2 structure.

Cell and atoms, written as POSCAR:
```
Tl2SbPt2
1.0
-2.285 0.391 -3.449
-3.238 -1.730 1.949
-4.744 5.279 1.237
Sb Pt Tl
1 2 2
Direct
0.000 0.000 0.000
0.600 0.600 0.800
0.400 0.400 0.200
0.250 0.750 0.500
0.750 0.250 0.500
```

Computed properties:
ρ = 13.5 g/cm3
space group = I4/mmm


Run ii
VASP calculation (GGA-PBE) on a geometry-optimized Tl2SbPt2 structure.

Cell and atoms, written as POSCAR:
```
Tl2SbPt2
1.0
7.260 0.000 0.000
0.000 7.260 0.000
0.000 0.000 4.311
Tl Pt Sb
4 4 2
Direct
0.665 0.835 0.500
0.835 0.335 0.500
0.335 0.165 0.500
0.165 0.665 0.500
0.862 0.638 0.000
0.362 0.862 0.000
0.638 0.138 0.000
0.138 0.362 0.000
0.500 0.500 0.000
0.000 0.000 0.000
```

Computed properties:
ρ = 13.5 g/cm3
space group = P4/mbm


Which of them is the most stable? Correct choice: run ii.


Run i
VASP calculation (GGA-PBE) on a geometry-optimized TlSb2Pt2 structure.

Cell and atoms, written as POSCAR:
```
TlSb2Pt2
1.0
4.927 0.000 0.000
0.000 4.927 0.000
2.463 2.463 5.026
Sb Pt Tl
2 2 1
Direct
0.750 0.250 0.500
0.250 0.750 0.500
0.634 0.634 0.731
0.366 0.366 0.269
0.000 0.000 0.000
```

Computed properties:
ρ = 11.4 g/cm3
space group = I4/mmm


Run ii
VASP calculation (GGA-PBE) on a geometry-optimized TlSb2Pt2 structure.

Cell and atoms, written as POSCAR:
```
TlSb2Pt2
1.0
4.649 0.000 0.000
0.000 4.649 0.000
2.324 2.324 5.894
Pt Tl Sb
2 1 2
Direct
0.250 0.750 0.500
0.750 0.250 0.500
0.000 0.000 0.000
0.362 0.362 0.277
0.638 0.638 0.723
```

Computed properties:
ρ = 10.9 g/cm3
space group = I4/mmm


Run iii
VASP calculation (GGA-PBE) on a geometry-optimized TlSb2Pt2 structure.

Cell and atoms, written as POSCAR:
```
TlSb2Pt2
1.0
-7.585 0.273 2.801
-2.609 -3.704 -6.703
0.441 -2.996 1.484
Sb Pt Tl
4 4 2
Direct
0.657 0.843 0.500
0.843 0.343 0.500
0.343 0.157 0.500
0.157 0.657 0.500
0.374 0.874 0.000
0.874 0.626 0.000
0.626 0.126 0.000
0.126 0.374 0.000
0.000 0.000 0.000
0.500 0.500 0.000
```

Computed properties:
ρ = 12.6 g/cm3
space group = P4/mbm


Which of them is the most stable? Correct choice: run ii.


Run i
VASP calculation (GGA-PBE) on a geometry-optimized Tm4SbPt structure.

Cell and atoms, written as POSCAR:
```
Tm4SbPt
1.0
-3.006 -3.742 -0.933
0.041 -2.069 8.170
-4.869 7.025 0.323
Tm Sb Pt
8 2 2
Direct
0.677 0.559 0.854
0.323 0.441 0.146
0.177 0.059 0.854
0.053 0.351 0.607
0.947 0.649 0.393
0.446 0.149 0.393
0.823 0.941 0.146
0.554 0.851 0.607
0.750 0.250 0.000
0.250 0.750 0.000
0.000 0.000 0.500
0.500 0.500 0.500
```

Computed properties:
ρ = 9.9 g/cm3
space group = C2/m


Run ii
VASP calculation (GGA-PBE) on a geometry-optimized Tm4SbPt structure.

Cell and atoms, written as POSCAR:
```
Tm4SbPt
1.0
5.695 0.000 -1.953
0.000 6.451 0.000
-0.216 0.000 8.668
Tm Pt Sb
8 2 2
Direct
0.604 0.250 0.899
0.000 0.000 0.706
0.000 0.500 0.294
0.396 0.750 0.101
0.432 0.750 0.608
0.000 0.000 0.294
0.568 0.250 0.392
0.000 0.500 0.706
0.726 0.750 0.426
0.274 0.250 0.574
0.193 0.250 0.042
0.807 0.750 0.958
```

Computed properties:
ρ = 10.4 g/cm3
space group = P2_1/m


Which of them is the most stable? Correct choice: run ii.


Run i
VASP calculation (GGA-PBE) on a geometry-optimized USbPt2 structure.

Cell and atoms, written as POSCAR:
```
USbPt2
1.0
4.847 0.000 0.000
2.424 4.198 0.000
2.424 1.399 3.958
Pt Sb U
2 1 1
Direct
0.250 0.250 0.250
0.750 0.750 0.750
0.000 0.000 0.000
0.500 0.500 0.500
```

Computed properties:
ρ = 15.5 g/cm3
space group = Fm-3m


Run ii
VASP calculation (GGA-PBE) on a geometry-optimized USbPt2 structure.

Cell and atoms, written as POSCAR:
```
USbPt2
1.0
4.279 0.000 0.000
2.140 3.706 0.000
2.140 1.235 5.440
Pt Sb U
2 1 1
Direct
0.758 0.758 0.726
0.242 0.242 0.274
0.500 0.500 0.500
0.000 0.000 0.000
```

Computed properties:
ρ = 14.4 g/cm3
space group = R-3m


Which of them is the most stable? Correct choice: run ii.